Model i:
VASP calculation (PBE) on a geometry-optimized YScAg2 structure.

Properties
DOS(E_F) ... 2.7 states/eV/cell
Calculated volume ... 88.7 Å³/cell

a b c (Å): 3.5176 3.5176 7.1669
angles (deg): 90.00 90.00 90.00
Space group P4/mmm (No. 123)
Inequivalent atoms, fractional coordinates:
Y  0.0000  0.0000  0.0000 (multiplicity 1)
Sc  0.0000  0.0000  0.5000 (multiplicity 1)
Ag  0.5000  0.5000  0.2753 (multiplicity 2)


Model ii:
VASP calculation (PBE) on a geometry-optimized YScAg2 structure.

Properties
DOS(E_F) ... 10.2 states/eV/cell
Calculated volume ... 177.2 Å³/cell

a b c (Å): 4.2788 4.2788 9.6768
angles (deg): 90.00 90.00 90.00
Space group I-4m2 (No. 119)
Inequivalent atoms, fractional coordinates:
Y  0.0000  0.0000  0.0000 (multiplicity 2)
Sc  0.0000  0.5000  0.2500 (multiplicity 2)
Ag  0.0000  0.0000  0.5000 (multiplicity 2)
Ag  0.0000  0.5000  0.7500 (multiplicity 2)


Quick one: most stable of them? model i


Model i:
VASP calculation (PBE) on a geometry-optimized YSc3Ag2 structure.

Properties
DOS(E_F) ... 13.6 states/eV/cell
Calculated volume ... 279.5 Å³/cell

a b c (Å): 4.8048 8.6304 6.7406
angles (deg): 90.00 90.00 90.00
Space group Pmc2_1 (No. 26)
Inequivalent atoms, fractional coordinates:
Y  0.0000  0.0623  0.0000 (multiplicity 2)
Sc  0.0000  0.3313  0.6337 (multiplicity 2)
Sc  0.5000  0.1839  0.3288 (multiplicity 2)
Sc  0.5000  0.4400  0.9606 (multiplicity 2)
Ag  0.0000  0.3574  0.2253 (multiplicity 2)
Ag  0.5000  0.1511  0.7368 (multiplicity 2)


Model ii:
VASP calculation (PBE) on a geometry-optimized YSc3Ag2 structure.

Properties
DOS(E_F) ... 31.5 states/eV/cell
Calculated volume ... 557.4 Å³/cell

a b c (Å): 14.8583 5.0298 8.3516
angles (deg): 90.00 116.74 90.00
Space group C2/m (No. 12)
Inequivalent atoms, fractional coordinates:
Y  0.1356  0.0000  0.1867 (multiplicity 4)
Sc  0.0638  0.0000  0.7207 (multiplicity 4)
Sc  0.1149  0.5000  0.5381 (multiplicity 4)
Sc  0.1944  0.5000  0.9923 (multiplicity 4)
Ag  0.0111  0.5000  0.1725 (multiplicity 4)
Ag  0.2330  0.0000  0.6084 (multiplicity 4)


Quick one: most stable of them? model i